Entry 1:
NdLuAg: optimized geometry, PBE.

Properties
E above lowest polymorph   0.00 eV per formula unit
ΔE_f   -0.52 eV per formula unit
Electronic total energy   -25.315 eV per cell

Cell lengths 3.5953, 3.5953, 12.7090 Å; angles 90.00, 90.00, 90.00 degrees
Space group I4mm (No. 107)
Symmetry-distinct sites (fractional):
Nd: 0.0000 0.0000 0.0000 (multiplicity 2)
Lu: 0.0000 0.0000 0.2981 (multiplicity 2)
Ag: 0.0000 0.0000 0.6690 (multiplicity 2)

Entry 2:
K2YHg: optimized geometry, PBE.

Properties
ΔE_f   0.85 eV per formula unit
Electronic total energy   -8.106 eV per cell

Cell lengths 4.0217, 5.4184, 6.6287 Å; angles 90.00, 90.00, 90.00 degrees
Space group Pmmm (No. 47)
Symmetry-distinct sites (fractional):
K: 0.0000 0.0000 0.0000 (multiplicity 1)
K: 0.5000 0.5000 0.0000 (multiplicity 1)
Y: 0.0000 0.5000 0.5000 (multiplicity 1)
Hg: 0.5000 0.0000 0.5000 (multiplicity 1)

Which D(E_F) belongs to each record? In order, 7.1, 4.1 states/eV per cell.